(1)
First-principles (GGA-PBE) data for a geometry-optimized Na2LaPb2 structure, as listed in the Alexandria database.

POSCAR file:
```
Na2LaPb2
1.0
8.866 0.000 0.000
0.000 8.866 0.000
0.000 0.000 4.016
Na La Pb
4 2 4
direct
0.161 0.339 0.000
0.339 0.839 0.000
0.661 0.161 0.000
0.839 0.661 0.000
0.000 0.000 0.500
0.500 0.500 0.500
0.133 0.633 0.500
0.367 0.133 0.500
0.633 0.867 0.500
0.867 0.367 0.500
```

Calculated values
Its polymorph energy (0 for the lowest one) is 0.139 eV per atom. The calculation puts the density of states at the Fermi level at 5.348 states/eV per cell. For the calculated formation energy, the calculation gives -135 meV per atom. For the theoretical density, the calculation gives 6.30 g cm⁻³.

***

(2)
First-principles (GGA-PBE) data for a geometry-optimized HoPd7Pt4 structure, as listed in the Alexandria database.

POSCAR file:
```
HoPd7Pt4
1.0
5.079 -2.459 0.000
5.079 2.459 0.000
-4.949 0.000 8.363
Ho Pd Pt
1 7 4
direct
0.000 0.000 0.000
0.109 0.109 0.449
0.292 0.292 0.083
0.345 0.345 0.379
0.500 0.500 0.000
0.655 0.655 0.621
0.708 0.708 0.917
0.891 0.891 0.551
0.193 0.193 0.769
0.408 0.408 0.684
0.592 0.592 0.316
0.807 0.807 0.231
```

Calculated values
The calculation puts the density of states at the Fermi level at 15.059 states/eV per cell. For the calculated formation energy, the calculation gives -47 meV per atom. For the theoretical density, the calculation gives 13.43 g cm⁻³.

***

(3)
First-principles (GGA-PBE) data for a geometry-optimized CaErMgCd structure, as listed in the Alexandria database.

POSCAR file:
```
CaErMgCd
1.0
3.827 0.000 0.000
0.000 3.827 0.000
0.000 0.000 7.591
Ca Er Mg Cd
1 1 1 1
direct
0.000 0.000 0.000
0.000 0.000 0.484
0.500 0.500 0.728
0.500 0.500 0.259
```

Calculated values
Its polymorph energy (0 for the lowest one) is 0.000 eV per atom. The calculation puts the density of states at the Fermi level at 3.030 states/eV per cell. For the calculated formation energy, the calculation gives -204 meV per atom. For the theoretical density, the calculation gives 5.14 g cm⁻³.

***

(4)
First-principles (GGA-PBE) data for a geometry-optimized CdIn2As structure, as listed in the Alexandria database.

POSCAR file:
```
CdIn2As
1.0
5.346 -1.569 0.000
5.346 1.569 0.000
-0.788 0.000 5.752
Cd In As
1 2 1
direct
0.000 0.000 0.000
0.247 0.247 0.749
0.753 0.753 0.251
0.500 0.500 0.500
```

Calculated values
Its polymorph energy (0 for the lowest one) is 0.112 eV per atom. The calculation puts the density of states at the Fermi level at 0.970 states/eV per cell. For the calculated formation energy, the calculation gives 116 meV per atom. For the theoretical density, the calculation gives 7.18 g cm⁻³.